The following is a PBE with a Hubbard U calculation of BaHgMoO4 after structural relaxation, from the Alexandria database.

Summary:
density = 4.68 g/cm3
magnetization = 0.000 μB per cell
final energy = -84.66 eV/cell

a b c (Å): 7.321 7.321 7.682
angles (deg): 78.89 78.89 61.74
Positions (direct):
O 0.868 0.489 0.860
O 0.489 0.868 0.860
O 0.717 0.717 0.513
O 0.511 0.132 0.140
O 0.132 0.511 0.140
O 0.499 0.499 0.747
O 0.501 0.501 0.253
O 0.283 0.283 0.487
Ba 0.285 0.285 0.830
Ba 0.715 0.715 0.170
Mo 0.358 0.358 0.260
Mo 0.642 0.642 0.740
Hg 0.975 0.975 0.729
Hg 0.025 0.025 0.271